Computed, not measured: crystalline Ce2CoPt at its relaxed geometry at the PBE-GGA level of DFT.

Cell lengths 4.925, 4.925, 4.925 Å; angles 60.00, 60.00, 60.00 degrees
Atoms (fractional coordinates):
Ce1 0.250 0.250 0.250
Ce2 0.750 0.750 0.750
Co1 0.000 0.000 0.000
Pt1 0.500 0.500 0.500

Summary:
As for the space group: Fm-3m. The total magnetic moment comes out at 1.0 μB/cell. As for the energy: -6.74 eV/atom. The value obtained for the formation energy from the elements is -0.4863 eV per atom.